(1)
This record from Alexandria describes a geometry-optimized BeVGe2 structure. The functional is PBE.

M_tot in μB per cell: 5.63
Calculated formation energy in eV per atom: 0.38

Unit cell a=6.791 b=6.791 c=5.125 alpha=90.00 beta=90.00 gamma=90.00
Space group I-42d (No. 122)
Unique sites:
1 Be 0.000 0.000 0.000 x4
2 V 0.000 0.000 0.500 x4
3 Ge 0.208 0.250 0.125 x8


(2)
This record from Alexandria describes a geometry-optimized GaTeIr structure. The functional is PBE.

M_tot in μB per cell: 0.00
Formation energy from raw total energies in kJ/mol of formula units: -54
Relative energy among the computed polymorphs in eV per atom: 0.000

Unit cell a=4.278 b=4.622 c=6.208 alpha=90.00 beta=90.00 gamma=90.00
Space group Imm2 (No. 44)
Unique sites:
1 Ga 0.000 0.000 0.000 x2
2 Te 0.000 0.000 0.518 x2
3 Ir 0.000 0.500 0.746 x2


(3)
This record from Alexandria describes a geometry-optimized KAc2InO5 structure. The functional is PBE.

M_tot in μB per cell: 0.00
Formation energy from raw total energies in kJ/mol of formula units: -2136

Unit cell a=7.256 b=7.256 c=12.355 alpha=90.00 beta=90.00 gamma=90.00
Space group I4/mcm (No. 140)
Unique sites:
1 K 0.000 0.000 0.250 x4
2 Ac 0.182 0.318 0.000 x8
3 In 0.000 0.500 0.250 x4
4 O 0.000 0.000 0.000 x4
5 O 0.140 0.360 0.371 x16


(4)
This record from Alexandria describes a geometry-optimized K5Y structure. The functional is PBE.

M_tot in μB per cell: 1.88
Relative energy among the computed polymorphs in eV per atom: 0.034
Calculated formation energy in eV per atom: 0.31

Unit cell a=16.775 b=3.975 c=10.969 alpha=90.00 beta=103.56 gamma=90.00
Space group Cm (No. 8)
Unique sites:
1 K 0.000 0.000 0.000 x2
2 K 0.069 0.000 0.601 x2
3 K 0.177 0.500 0.309 x2
4 K 0.250 0.500 0.970 x2
5 K 0.342 0.000 0.633 x2
6 Y 0.409 0.000 0.288 x2


(5)
This record from Alexandria describes a geometry-optimized DyCdH6Rh2 structure. The functional is PBE.

M_tot in μB per cell: 0.00
E_tot in eV/cell: -173.1

Unit cell a=7.736 b=9.391 c=5.596 alpha=90.00 beta=106.25 gamma=90.00
Space group C2/c (No. 15)
Unique sites:
1 Dy 0.000 0.164 0.250 x4
2 Cd 0.000 0.379 0.750 x4
3 H 0.080 0.393 0.138 x8
4 H 0.163 0.001 0.062 x8
5 H 0.205 0.242 0.617 x8
6 Rh 0.199 0.117 0.823 x8


(6)
This record from Alexandria describes a geometry-optimized Sb2AsPd structure. The functional is PBE.

M_tot in μB per cell: 0.00
Formation energy from raw total energies in kJ/mol of formula units: -18

Unit cell a=6.225 b=6.225 c=12.088 alpha=90.00 beta=90.00 gamma=90.00
Space group I-42d (No. 122)
Unique sites:
1 Sb 0.229 0.250 0.125 x8
2 As 0.000 0.000 0.500 x4
3 Pd 0.000 0.000 0.000 x4